No. 1
# Tb4Se3S2

Tb4Se3S2 after structural relaxation (PBE-GGA, the Alexandria database).

Computed properties:
M_tot = 0.00 μB/cell
Distance to the lowest polymorph of the same formula = 0.000 eV per atom
Symmetry = C2/m
Volume = 224.6 Å³ per cell
VASP energy = -6.02 eV per atom
ΔE_f (raw) = -1.883 eV/atom

Cell: 7.1269 7.1269 8.6411 Å, 98.19 98.19 31.16°
Sites, in units of the cell vectors:
Tb 0.0727 0.0727 0.1784
Tb 0.3446 0.3446 0.3894
Tb 0.6554 0.6554 0.6106
Tb 0.9273 0.9273 0.8216
Se 0.0000 0.0000 0.5000
Se 0.4054 0.4054 0.0918
Se 0.5946 0.5946 0.9082
S 0.2947 0.2947 0.6914
S 0.7053 0.7053 0.3086

***

No. 2
# Tb4Se2S5

Tb4Se2S5 after structural relaxation (PBE-GGA, the Alexandria database).

Computed properties:
M_tot = 0.00 μB/cell
Symmetry = C2/m
Volume = 319.1 Å³ per cell
VASP energy = -5.69 eV per atom
ΔE_f (raw) = -1.492 eV/atom

Cell: 8.1402 8.1402 9.2031 Å, 95.92 95.92 31.76°
Sites, in units of the cell vectors:
Tb 0.0262 0.0262 0.3208
Tb 0.2885 0.2885 0.3152
Tb 0.7115 0.7115 0.6848
Tb 0.9738 0.9738 0.6792
Se 0.1366 0.1366 0.8464
Se 0.8634 0.8634 0.1536
S 0.1414 0.1414 0.1458
S 0.1684 0.1684 0.5186
S 0.5000 0.5000 0.5000
S 0.8316 0.8316 0.4814
S 0.8586 0.8586 0.8542

***

No. 3
# Tb4Se2S

Tb4Se2S after structural relaxation (PBE-GGA, the Alexandria database).

Computed properties:
M_tot = 0.00 μB/cell
Symmetry = Cmmm
Volume = 181.3 Å³ per cell
VASP energy = -5.78 eV per atom
ΔE_f (raw) = -1.547 eV/atom

Cell: 6.9280 6.9280 4.0094 Å, 90.00 90.00 109.62°
Sites, in units of the cell vectors:
Tb 0.2418 0.7582 0.0000
Tb 0.2427 0.2427 0.5000
Tb 0.7573 0.7573 0.5000
Tb 0.7582 0.2418 0.0000
Se 0.0000 0.5000 0.5000
Se 0.5000 0.0000 0.5000
S 0.0000 0.0000 0.0000

***

No. 4
# Tb5Se4S

Tb5Se4S after structural relaxation (PBE-GGA, the Alexandria database).

Computed properties:
M_tot = 0.00 μB/cell
Distance to the lowest polymorph of the same formula = 0.000 eV per atom
Symmetry = I4/mmm
Volume = 237.6 Å³ per cell
VASP energy = -5.93 eV per atom
ΔE_f (raw) = -1.813 eV/atom

Cell: 14.7669 14.7669 14.7669 Å, 164.24 164.24 22.36°
Sites, in units of the cell vectors:
Tb 0.0000 0.0000 0.0000
Tb 0.2048 0.2048 0.0000
Tb 0.4068 0.4068 0.0000
Tb 0.5932 0.5932 0.0000
Tb 0.7952 0.7952 0.0000
Se 0.1013 0.1013 0.0000
Se 0.3046 0.3046 0.0000
Se 0.6954 0.6954 0.0000
Se 0.8987 0.8987 0.0000
S 0.5000 0.5000 0.0000

***

No. 5
# Tb6Se5S

Tb6Se5S after structural relaxation (PBE-GGA, the Alexandria database).

Computed properties:
M_tot = 0.00 μB/cell
Symmetry = C2/m
Volume = 286.8 Å³ per cell
VASP energy = -5.93 eV per atom
ΔE_f (raw) = -1.821 eV/atom

Cell: 7.0579 7.0579 7.0550 Å, 99.53 99.53 120.11°
Sites, in units of the cell vectors:
Tb 0.0774 0.3895 0.7333
Tb 0.2331 0.2331 0.2627
Tb 0.3895 0.0774 0.7333
Tb 0.6105 0.9226 0.2667
Tb 0.7669 0.7669 0.7373
Tb 0.9226 0.6105 0.2667
Se 0.1729 0.8271 0.0000
Se 0.3342 0.6658 0.5000
Se 0.5000 0.5000 0.0000
Se 0.6658 0.3342 0.5000
Se 0.8271 0.1729 0.0000
S 0.0000 0.0000 0.5000

***

No. 6
# Tb6SeS5

Tb6SeS5 after structural relaxation (PBE-GGA, the Alexandria database).

Computed properties:
M_tot = 0.00 μB/cell
Symmetry = C2/m
Volume = 262.8 Å³ per cell
VASP energy = -6.30 eV per atom
ΔE_f (raw) = -1.971 eV/atom

Cell: 6.8605 6.8605 6.8511 Å, 99.61 99.61 120.15°
Sites, in units of the cell vectors:
Tb 0.0700 0.4129 0.2368
Tb 0.2441 0.2441 0.7604
Tb 0.4129 0.0700 0.2368
Tb 0.5871 0.9300 0.7632
Tb 0.7559 0.7559 0.2396
Tb 0.9300 0.5871 0.7632
Se 0.5000 0.5000 0.5000
S 0.0000 0.0000 0.0000
S 0.1672 0.8328 0.5000
S 0.3375 0.6625 0.0000
S 0.6625 0.3375 0.0000
S 0.8328 0.1672 0.5000

***

No. 7
# Tb3Se3S

Tb3Se3S after structural relaxation (PBE-GGA, the Alexandria database).

Computed properties:
M_tot = 0.00 μB/cell
Distance to the lowest polymorph of the same formula = 0.047 eV per atom
Symmetry = C2/m
Volume = 377.4 Å³ per cell
VASP energy = -5.75 eV per atom
ΔE_f (raw) = -1.681 eV/atom

Cell: 7.3230 7.3230 7.4239 Å, 90.32 90.32 108.54°
Sites, in units of the cell vectors:
Tb 0.0624 0.0624 0.2845
Tb 0.2184 0.5211 0.7987
Tb 0.4789 0.7816 0.2013
Tb 0.5211 0.2184 0.7987
Tb 0.7816 0.4789 0.2013
Tb 0.9376 0.9376 0.7155
Se 0.1619 0.8381 0.0000
Se 0.2304 0.7696 0.5000
Se 0.3630 0.3630 0.1327
Se 0.6370 0.6370 0.8673
Se 0.7696 0.2304 0.5000
Se 0.8381 0.1619 0.0000
S 0.2355 0.2355 0.5949
S 0.7645 0.7645 0.4051

***

No. 8
# Tb4Se3S

Tb4Se3S after structural relaxation (PBE-GGA, the Alexandria database).

Computed properties:
M_tot = 0.00 μB/cell
Distance to the lowest polymorph of the same formula = 0.000 eV per atom
Symmetry = Cmmm
Volume = 189.1 Å³ per cell
VASP energy = -5.97 eV per atom
ΔE_f (raw) = -1.837 eV/atom

Cell: 7.0547 7.0547 4.0229 Å, 90.00 90.00 109.14°
Sites, in units of the cell vectors:
Tb 0.2292 0.2292 0.5000
Tb 0.2378 0.7622 0.0000
Tb 0.7622 0.2378 0.0000
Tb 0.7708 0.7708 0.5000
Se 0.0000 0.5000 0.5000
Se 0.5000 0.0000 0.5000
Se 0.5000 0.5000 0.0000
S 0.0000 0.0000 0.0000